# 1
# HfCSCl2

An optimized crystal structure of HfCSCl2 (GGA-PBE, Alexandria via LeMat-Bulk).

Lattice parameters (Å, degrees): 4.9890 4.9890 4.8973 90.00 90.00 90.00
Each line ends with the local moment (μB).
Fractional positions:
S  0.0000  0.0000  0.5000  -0.05
Hf  0.0000  0.0000  0.0000  0.02
C  0.5000  0.5000  0.5000  0.97
Cl  0.0000  0.5000  0.0000  0.01
Cl  0.5000  0.0000  0.0000  0.01

Properties
Its symmetry is P4/mmm. Its total energy is -5.025 eV/atom. Its density of states at the Fermi level is 5.2 states/eV/cell. For the uncorrected formation energy, the calculation gives 375 meV/atom. Its crystal system is tetragonal. The relative energy among the computed polymorphs is 0.0000 eV per atom.

---

# 2
# Sc11Ni4Hg9

An optimized crystal structure of Sc11Ni4Hg9 (GGA-PBE, Alexandria via LeMat-Bulk).

Lattice parameters (Å, degrees): 3.3411 12.4051 12.4051 112.33 90.00 90.00
Fractional positions:
Sc  0.0000  0.5824  0.9176
Sc  0.0000  0.4176  0.0824
Sc  0.0000  0.9176  0.5824
Sc  0.0000  0.0824  0.4176
Sc  0.0000  0.6289  0.3711
Sc  0.0000  0.3711  0.6289
Sc  0.0000  0.8382  0.1618
Sc  0.0000  0.1618  0.8382
Sc  0.0000  0.0000  0.0000
Sc  0.0000  0.6926  0.6926
Sc  0.0000  0.3074  0.3074
Ni  0.5000  0.5488  0.7478
Ni  0.5000  0.4512  0.2522
Ni  0.5000  0.7478  0.5488
Ni  0.5000  0.2522  0.4512
Hg  0.5000  0.6304  0.1523
Hg  0.5000  0.3696  0.8477
Hg  0.5000  0.1523  0.6304
Hg  0.5000  0.8477  0.3696
Hg  0.5000  0.7812  0.9285
Hg  0.5000  0.2188  0.0715
Hg  0.5000  0.9285  0.7812
Hg  0.5000  0.0715  0.2188
Hg  0.5000  0.5000  0.5000

Properties
The value obtained for the formation energy is -0.468 eV per atom. Its symmetry is Cmmm. Its total energy is -4.447 eV/atom. Its density of states at the Fermi level is 13.4 states/eV/cell. Its crystal system is orthorhombic.

---

# 3
# Ta2Si2Ir

An optimized crystal structure of Ta2Si2Ir (GGA-PBE, Alexandria via LeMat-Bulk).

Lattice parameters (Å, degrees): 6.1899 6.1899 6.1899 143.21 143.21 53.00
Fractional positions:
Ta  0.2500  0.7500  0.5000
Ta  0.7500  0.2500  0.5000
Si  0.5967  0.5967  0.0000
Si  0.4033  0.4033  0.0000
Ir  0.0000  0.0000  0.0000

Properties
Its symmetry is I4/mmm. Its total energy is -8.298 eV/atom. Its density of states at the Fermi level is 5.1 states/eV/cell. For the uncorrected formation energy, the calculation gives 384 meV/atom. Its crystal system is tetragonal.

---

# 4
# SbPt9Pb2

An optimized crystal structure of SbPt9Pb2 (GGA-PBE, Alexandria via LeMat-Bulk).

Lattice parameters (Å, degrees): 4.1259 4.1259 12.2698 90.00 90.00 90.00
Fractional positions:
Sb  0.0000  0.0000  0.0000
Pt  0.5000  0.5000  0.0000
Pt  0.5000  0.5000  0.3304
Pt  0.5000  0.5000  0.6696
Pt  0.5000  0.0000  0.1607
Pt  0.5000  0.0000  0.5000
Pt  0.5000  0.0000  0.8393
Pt  0.0000  0.5000  0.1607
Pt  0.0000  0.5000  0.5000
Pt  0.0000  0.5000  0.8393
Pb  0.0000  0.0000  0.3324
Pb  0.0000  0.0000  0.6676

Properties
Its symmetry is P4/mmm. Its total energy is -5.608 eV/atom. Its density of states at the Fermi level is 4.4 states/eV/cell. For the uncorrected formation energy, the calculation gives -116 meV/atom. Its crystal system is tetragonal.

---

# 5
# La4Ga12Pt

An optimized crystal structure of La4Ga12Pt (GGA-PBE, Alexandria via LeMat-Bulk).

Lattice parameters (Å, degrees): 7.7232 7.7232 7.7232 109.47 109.47 109.47
Fractional positions:
La  0.0000  0.0000  0.5000
La  0.5000  0.0000  0.0000
La  0.5000  0.5000  0.5000
La  0.0000  0.5000  0.0000
Ga  0.0000  0.2970  0.2970
Ga  0.0000  0.7030  0.7030
Ga  0.7030  0.7030  0.0000
Ga  0.2970  0.2970  0.0000
Ga  0.2970  0.0000  0.2970
Ga  0.7030  0.0000  0.7030
Ga  0.5000  0.2500  0.7500
Ga  0.5000  0.7500  0.2500
Ga  0.7500  0.2500  0.5000
Ga  0.2500  0.7500  0.5000
Ga  0.7500  0.5000  0.2500
Ga  0.2500  0.5000  0.7500
Pt  0.0000  0.0000  0.0000

Properties
The value obtained for the formation energy is -0.638 eV per atom. Its symmetry is Im-3m. Its total energy is -4.289 eV/atom. Its density of states at the Fermi level is 3.1 states/eV/cell. Its crystal system is cubic.

---

# 6
# KAlS6

An optimized crystal structure of KAlS6 (GGA-PBE, Alexandria via LeMat-Bulk).

Lattice parameters (Å, degrees): 8.6565 4.9134 15.5054 84.51 149.38 120.06
Fractional positions:
K  0.5000  0.5000  0.5000
Al  0.0000  0.0000  0.0000
S  0.4262  0.0098  0.0964
S  0.9557  0.7795  0.4617
S  0.7871  0.5360  0.0265
S  0.0443  0.2205  0.5383
S  0.5738  0.9902  0.9036
S  0.2129  0.4640  0.9735

Properties
Its symmetry is P-1. Its total energy is -4.142 eV/atom. Its density of states at the Fermi level is 0.1 states/eV/cell. For the uncorrected formation energy, the calculation gives -442 meV/atom. Its crystal system is triclinic.

---

# 7
# VAgS2

An optimized crystal structure of VAgS2 (GGA-PBE, Alexandria via LeMat-Bulk).

Lattice parameters (Å, degrees): 10.0151 10.0151 4.4366 90.00 90.00 159.70
Each line ends with the local moment (μB).
Fractional positions:
S  0.1906  0.8094  0.2500  -0.11
S  0.8094  0.1906  0.7500  -0.11
S  0.9524  0.0476  0.2500  -0.11
S  0.0476  0.9524  0.7500  -0.11
Ag  0.3362  0.6638  0.2500  -0.01
Ag  0.6638  0.3362  0.7500  -0.01
V  0.0804  0.9196  0.2500  1.58
V  0.9196  0.0804  0.7500  1.58

Properties
Its symmetry is Cmcm. Its total energy is -5.192 eV/atom. Its density of states at the Fermi level is 5.1 states/eV/cell. For the uncorrected formation energy, the calculation gives -136 meV/atom. Its crystal system is orthorhombic.

---

# 8
# PtPb2W2

An optimized crystal structure of PtPb2W2 (GGA-PBE, Alexandria via LeMat-Bulk).

Lattice parameters (Å, degrees): 3.5747 3.5747 9.1991 78.80 78.80 90.00
Fractional positions:
Pb  0.4021  0.4021  0.1958
Pb  0.5979  0.5979  0.8042
W  0.7500  0.2500  0.5000
W  0.2500  0.7500  0.5000
Pt  0.0000  0.0000  0.0000

Properties
The value obtained for the formation energy is 0.840 eV per atom. Its symmetry is I4/mmm. Its total energy is -7.033 eV/atom. Its density of states at the Fermi level is 4.0 states/eV/cell. Its crystal system is tetragonal. The relative energy among the computed polymorphs is 0.0000 eV per atom.

---

# 9
# CsCaV2

An optimized crystal structure of CsCaV2 (GGA-PBE, Alexandria via LeMat-Bulk).

Lattice parameters (Å, degrees): 5.7024 5.7024 5.7024 60.00 60.00 60.00
Each line ends with the local moment (μB).
Fractional positions:
Cs  0.5000  0.5000  0.5000  0.08
Ca  0.0000  0.0000  0.0000  0.12
V  0.2500  0.2500  0.2500  3.01
V  0.7500  0.7500  0.7500  3.01

Properties
The value obtained for the formation energy is 1.482 eV per atom. Its symmetry is Fm-3m. Its total energy is -3.791 eV/atom. Its density of states at the Fermi level is 6.6 states/eV/cell. Its crystal system is cubic.

---

# 10
# NaCoRu

An optimized crystal structure of NaCoRu (GGA-PBE, Alexandria via LeMat-Bulk).

Lattice parameters (Å, degrees): 5.9605 3.7804 4.9775 90.00 94.97 90.00
Each line ends with the local moment (μB).
Fractional positions:
Ru  0.5823  0.2500  0.8802  -0.07
Ru  0.4177  0.7500  0.1198  -0.07
Co  0.5563  0.2500  0.3860  0.81
Co  0.4437  0.7500  0.6140  0.81
Na  0.0773  0.2500  0.7502  0.00
Na  0.9227  0.7500  0.2498  0.00

Properties
The value obtained for the formation energy is 0.522 eV per atom. Its symmetry is P2_1/m. Its total energy is -5.378 eV/atom. Its density of states at the Fermi level is 6.5 states/eV/cell. Its crystal system is monoclinic. The relative energy among the computed polymorphs is 0.1265 eV per atom.

---

# 11
# GdTmBeCu

An optimized crystal structure of GdTmBeCu (GGA-PBE, Alexandria via LeMat-Bulk).

Lattice parameters (Å, degrees): 4.8591 4.8591 4.8591 60.00 60.00 60.00
Each line ends with the local moment (μB).
Fractional positions:
Gd  0.0000  0.0000  0.0000  7.02
Be  0.2500  0.2500  0.2500  -0.01
Tm  0.5000  0.5000  0.5000  -0.02
Cu  0.7500  0.7500  0.7500  0.00

Properties
The value obtained for the formation energy is -0.062 eV per atom. Its symmetry is F-43m. Its total energy is -6.656 eV/atom. Its density of states at the Fermi level is 2.4 states/eV/cell. Its crystal system is cubic.

---

# 12
# ScFeCl

An optimized crystal structure of ScFeCl (GGA-PBE, Alexandria via LeMat-Bulk).

Lattice parameters (Å, degrees): 7.0067 6.9219 3.0774 78.78 75.70 25.52
Each line ends with the local moment (μB).
Fractional positions:
Cl  0.0374  0.0374  0.9626  -0.01
Fe  0.2972  0.2972  0.7028  2.63
Sc  0.6654  0.6654  0.3346  -0.50

Properties
Its symmetry is Fmm2. Its total energy is -5.849 eV/atom. Its density of states at the Fermi level is 2.6 states/eV/cell. For the uncorrected formation energy, the calculation gives -302 meV/atom. Its crystal system is orthorhombic.

---

# 13
# AcLaTe2O8

An optimized crystal structure of AcLaTe2O8 (GGA-PBE, Alexandria via LeMat-Bulk).

Lattice parameters (Å, degrees): 6.5725 6.5725 6.5725 107.22 107.22 114.08
Fractional positions:
Ac  0.0000  0.0000  0.0000
La  0.2500  0.7500  0.5000
Te  0.7500  0.2500  0.5000
Te  0.5000  0.5000  0.0000
O  0.3919  0.0693  0.3226
O  0.3077  0.4954  0.1877
O  0.3077  0.1200  0.8123
O  0.7467  0.0693  0.6774
O  0.8800  0.6923  0.1877
O  0.9307  0.2533  0.3226
O  0.9307  0.6081  0.6774
O  0.5046  0.6923  0.8123

Properties
Its symmetry is I-4m2. Its total energy is -6.540 eV/atom. Its density of states at the Fermi level is 2.4 states/eV/cell. For the uncorrected formation energy, the calculation gives -1958 meV/atom. Its crystal system is tetragonal.

---

# 14
# Rb4TmI7

An optimized crystal structure of Rb4TmI7 (GGA-PBE, Alexandria via LeMat-Bulk).

Lattice parameters (Å, degrees): 6.0225 9.7787 13.6857 60.95 77.29 72.06
Fractional positions:
Rb  0.5132  0.6787  0.2949
Rb  0.4868  0.3213  0.7051
Rb  0.7539  0.8210  0.6712
Rb  0.2461  0.1790  0.3288
Tm  0.0000  0.0000  0.0000
I  0.8837  0.3593  0.8733
I  0.1163  0.6407  0.1267
I  0.1156  0.9893  0.7795
I  0.8844  0.0107  0.2205
I  0.3544  0.7506  0.5406
I  0.5000  0.0000  0.0000
I  0.6456  0.2494  0.4594

Properties
Its symmetry is C2/m. Its total energy is -3.033 eV/atom. Its density of states at the Fermi level is 0.0 states/eV/cell. For the uncorrected formation energy, the calculation gives -1433 meV/atom. Its crystal system is monoclinic.

---

# 15
# CePmCo2

An optimized crystal structure of CePmCo2 (GGA-PBE, Alexandria via LeMat-Bulk).

Lattice parameters (Å, degrees): 4.2643 4.2643 5.6813 67.96 67.96 60.00
Fractional positions:
Co  0.7068  0.7068  0.8797
Co  0.2932  0.2932  0.1203
Ce  0.0000  0.0000  0.0000
Pm  0.5000  0.5000  0.5000

Properties
The value obtained for the formation energy is -0.175 eV per atom. Its symmetry is R-3m. Its total energy is -6.399 eV/atom. Its density of states at the Fermi level is 3.0 states/eV/cell. Its crystal system is trigonal. The relative energy among the computed polymorphs is 0.0415 eV per atom.

---

# 16
# TeMoIr2Cl

An optimized crystal structure of TeMoIr2Cl (GGA-PBE, Alexandria via LeMat-Bulk).

Lattice parameters (Å, degrees): 4.8810 5.3799 4.8810 90.00 90.00 90.00
Each line ends with the local moment (μB).
Fractional positions:
Mo  0.0000  0.5000  0.0000  2.94
Ir  0.0000  0.0000  0.5000  -0.38
Ir  0.5000  0.0000  0.0000  -0.40
Te  0.0000  0.0000  0.0000  -0.06
Cl  0.5000  0.5000  0.5000  -0.07

Properties
Its symmetry is P4/mmm. Its total energy is -4.914 eV/atom. Its density of states at the Fermi level is 10.7 states/eV/cell. For the uncorrected formation energy, the calculation gives 1794 meV/atom. Its crystal system is tetragonal.

---

# 17
# AcPmRhI

An optimized crystal structure of AcPmRhI (GGA-PBE, Alexandria via LeMat-Bulk).

Lattice parameters (Å, degrees): 4.2560 4.2561 8.7741 90.00 104.04 120.00
Fractional positions:
Ac  0.5161  0.1560  0.6875
Pm  0.0948  0.9454  0.0555
Rh  0.3115  0.5537  0.8806
I  0.9554  0.3758  0.3461

Properties
Its symmetry is R3m. Its total energy is -5.424 eV/atom. Its density of states at the Fermi level is 0.2 states/eV/cell. For the uncorrected formation energy, the calculation gives -984 meV/atom. Its crystal system is trigonal.

---

# 18
# LiCoSi2

An optimized crystal structure of LiCoSi2 (GGA-PBE, Alexandria via LeMat-Bulk).

Lattice parameters (Å, degrees): 4.4771 4.4771 4.1773 84.93 84.93 34.49
Fractional positions:
Co  0.5018  0.5018  0.4797
Li  0.7541  0.7541  0.7611
Si  0.0082  0.0082  0.9769
Si  0.2359  0.2359  0.2823

Properties
Its symmetry is Cm. Its total energy is -5.102 eV/atom. Its density of states at the Fermi level is 1.5 states/eV/cell. For the uncorrected formation energy, the calculation gives -136 meV/atom. Its crystal system is monoclinic. The relative energy among the computed polymorphs is 0.1535 eV per atom.

---

# 19
# NaIn2P

An optimized crystal structure of NaIn2P (GGA-PBE, Alexandria via LeMat-Bulk).

Lattice parameters (Å, degrees): 3.9518 3.9518 8.4905 76.54 76.54 60.00
Fractional positions:
Na  0.5016  0.5016  0.4951
In  0.0620  0.0620  0.8141
In  0.2706  0.2706  0.1881
P  0.6657  0.6657  0.0028

Properties
The value obtained for the formation energy is -0.100 eV per atom. Its symmetry is R3m. Its total energy is -3.151 eV/atom. Its density of states at the Fermi level is 0.6 states/eV/cell. Its crystal system is trigonal.

---

# 20
# CrNi5

An optimized crystal structure of CrNi5 (GGA-PBE, Alexandria via LeMat-Bulk).

Lattice parameters (Å, degrees): 2.4874 4.7845 5.9037 75.40 90.00 105.07
Each line ends with the local moment (μB).
Fractional positions:
Cr  0.0008  0.0016  0.0000  0.26
Ni  0.6657  0.3314  0.6687  0.12
Ni  0.3343  0.6685  0.3299  0.13
Ni  0.3907  0.7814  0.7249  0.15
Ni  0.0535  0.1069  0.3865  0.19
Ni  0.7217  0.4435  0.0567  0.07

Properties
The value obtained for the formation energy is 0.036 eV per atom. Its symmetry is Cm. Its total energy is -6.385 eV/atom. Its density of states at the Fermi level is 10.7 states/eV/cell. Its crystal system is monoclinic.